Record 1
The following is a DFT calculation (PBE-GGA) of a relaxed Ti2Al2Ga crystal.

Lattice parameters (Å, degrees): 3.9272 4.7863 5.1545 73.69 67.61 65.78
Fractional positions:
Al 0.1997 0.1933 0.4074
Al 0.8003 0.8067 0.5926
Ti 0.6052 0.5939 0.1956
Ti 0.3948 0.4061 0.8044
Ga 0.0000 0.0000 0.0000

ΔE to the lowest computed polymorph = 0 meV per atom
calculated volume = 16.2 Å³ per atom

Record 2
The following is a DFT calculation (PBE-GGA) of a relaxed Ti2Al2Ga crystal.

Lattice parameters (Å, degrees): 6.6548 6.6548 3.9944 90.00 90.00 90.00
Each line ends with the local moment (μB).
Fractional positions:
Ti 0.6491 0.1491 0.0000  0.26
Ti 0.8509 0.6491 0.0000  0.26
Ti 0.3509 0.8509 0.0000  0.26
Ti 0.1491 0.3509 0.0000  0.26
Ga 0.0000 0.0000 0.0000  0.04
Ga 0.5000 0.5000 0.0000  0.04
Al 0.3503 0.1497 0.5000  -0.01
Al 0.6497 0.8503 0.5000  -0.01
Al 0.8503 0.3503 0.5000  -0.01
Al 0.1497 0.6497 0.5000  -0.01

ΔE to the lowest computed polymorph = 184 meV per atom
calculated volume = 17.7 Å³ per atom

Record 3
The following is a DFT calculation (PBE-GGA) of a relaxed Ti3AlGa crystal.

Lattice parameters (Å, degrees): 4.6757 4.6757 4.6757 90.00 90.00 90.00
Fractional positions:
Al 0.5000 0.5000 0.5000
Ti 0.0000 0.0000 0.5000
Ti 0.5000 0.0000 0.0000
Ti 0.0000 0.5000 0.0000
Ga 0.0000 0.0000 0.0000

ΔE to the lowest computed polymorph = 487 meV per atom
calculated volume = 20.4 Å³ per atom

The lowest ΔE to the lowest computed polymorph belongs to which entry?
number 1